TaZnAs2 | PBE | relaxed Values from VASP.

Cell and atoms, written as Quantum ESPRESSO input:
```
&SYSTEM
  ibrav = 0, nat = 4, ntyp = 3
/
ATOMIC_SPECIES
Ta 180.95 Ta.upf
Zn 65.41 Zn.upf
As 74.92 As.upf
CELL_PARAMETERS angstrom
-1.803 2.372 3.910
1.803 -2.372 3.910
1.803 2.372 -3.910
ATOMIC_POSITIONS angstrom
Ta 0.000 0.000 0.000
Zn 0.000 0.000 3.910
As 1.803 0.000 2.100
As 0.000 2.372 1.811
```

Results
Its space group is Immm. The calculation puts the formation energy at 0.05 eV/atom. Its total magnetic moment is 0.000 μB per atom. The value obtained for the total energy is -5.561 eV per atom.